1.
Compound: Li2CuH5Pt
Source: the Alexandria database
Functional: PBE
Structure: relaxed

a = 5.319 Å, b = 5.319 Å, c = 10.053 Å
α = 90.00°, β = 90.00°, γ = 146.63°
Atoms (fractional coordinates):
Li 0.059 0.941 0.500
Li 0.188 0.812 0.191
Li 0.812 0.188 0.691
Li 0.941 0.059 0.000
Cu 0.221 0.779 0.905
Cu 0.779 0.221 0.405
H 0.074 0.926 0.825
H 0.246 0.754 0.473
H 0.360 0.640 0.120
H 0.384 0.616 0.832
H 0.427 0.573 0.602
H 0.573 0.427 0.102
H 0.616 0.384 0.332
H 0.640 0.360 0.620
H 0.754 0.246 0.973
H 0.926 0.074 0.325
Pt 0.477 0.523 0.234
Pt 0.523 0.477 0.734

Total energy ... -64.937 eV for the cell shown



2.
Compound: Li2CuHPt
Source: the Alexandria database
Functional: PBE
Structure: relaxed

a = 3.844 Å, b = 3.844 Å, c = 3.626 Å
α = 90.00°, β = 90.00°, γ = 90.00°
Atoms (fractional coordinates):
Li 0.000 0.500 0.000
Li 0.500 0.000 0.000
Cu 0.000 0.000 0.500
H 0.000 0.000 0.000
Pt 0.500 0.500 0.500

E above lowest polymorph ... 6.48 kJ/mol of atoms
Total energy ... -18.755 eV for the cell shown



3.
Compound: LiCuH3Pt
Source: the Alexandria database
Functional: PBE
Structure: relaxed

a = 6.441 Å, b = 2.804 Å, c = 6.766 Å
α = 90.00°, β = 91.16°, γ = 90.00°
Atoms (fractional coordinates):
Li 0.211 0.250 0.226
Li 0.789 0.750 0.774
Cu 0.359 0.750 0.907
Cu 0.641 0.250 0.093
H 0.172 0.250 0.884
H 0.296 0.750 0.623
H 0.405 0.750 0.146
H 0.595 0.250 0.854
H 0.704 0.250 0.377
H 0.828 0.750 0.116
Pt 0.123 0.250 0.633
Pt 0.877 0.750 0.367

Total energy ... -45.319 eV for the cell shown



4.
Compound: LiCu2HPt
Source: the Alexandria database
Functional: PBE
Structure: relaxed

a = 3.671 Å, b = 3.671 Å, c = 3.944 Å
α = 90.00°, β = 90.00°, γ = 90.00°
Atoms (fractional coordinates):
Li 0.000 0.000 0.000
Cu 0.000 0.500 0.500
Cu 0.500 0.000 0.500
H 0.000 0.000 0.500
Pt 0.500 0.500 0.000

E above lowest polymorph ... 0.73 kJ/mol of atoms
Total energy ... -20.344 eV for the cell shown



5.
Compound: Rb2LiCuH4
Source: the Alexandria database
Functional: PBE
Structure: relaxed

a = 12.026 Å, b = 10.800 Å, c = 6.266 Å
α = 85.21°, β = 63.51°, γ = 31.28°
Atoms (fractional coordinates):
Rb 0.048 0.048 0.702
Rb 0.298 0.298 0.952
Rb 0.702 0.702 0.048
Rb 0.952 0.952 0.298
Li 0.125 0.125 0.125
Li 0.875 0.875 0.875
Cu 0.375 0.375 0.375
Cu 0.625 0.625 0.625
H 0.030 0.636 0.555
H 0.280 0.555 0.636
H 0.364 0.970 0.720
H 0.445 0.720 0.970
H 0.555 0.280 0.030
H 0.636 0.030 0.280
H 0.720 0.445 0.364
H 0.970 0.364 0.445

Total energy ... -46.225 eV for the cell shown



6.
Compound: LiCu2H8Rh3
Source: the Alexandria database
Functional: PBE
Structure: relaxed

a = 5.406 Å, b = 5.406 Å, c = 5.406 Å
α = 62.37°, β = 62.37°, γ = 62.37°
Atoms (fractional coordinates):
Li 0.000 0.000 0.000
Cu 0.240 0.240 0.240
Cu 0.618 0.618 0.618
H 0.366 0.366 0.836
H 0.366 0.836 0.366
H 0.375 0.375 0.375
H 0.429 0.857 0.857
H 0.836 0.366 0.366
H 0.851 0.851 0.851
H 0.857 0.429 0.857
H 0.857 0.857 0.429
Rh 0.120 0.617 0.617
Rh 0.617 0.120 0.617
Rh 0.617 0.617 0.120

Total energy ... -59.993 eV for the cell shown



7.
Compound: LiCu2HRh
Source: the Alexandria database
Functional: PBE
Structure: relaxed

a = 3.846 Å, b = 3.846 Å, c = 3.653 Å
α = 90.00°, β = 90.00°, γ = 90.00°
Atoms (fractional coordinates):
Li 0.000 0.000 0.000
Cu 0.000 0.500 0.500
Cu 0.500 0.000 0.500
H 0.500 0.500 0.500
Rh 0.500 0.500 0.000

Total energy ... -21.226 eV for the cell shown



8.
Compound: Li2CuHRh
Source: the Alexandria database
Functional: PBE
Structure: relaxed

a = 3.834 Å, b = 3.834 Å, c = 3.626 Å
α = 90.00°, β = 90.00°, γ = 90.00°
Atoms (fractional coordinates):
Li 0.000 0.500 0.000
Li 0.500 0.000 0.000
Cu 0.000 0.000 0.500
H 0.500 0.500 0.000
Rh 0.500 0.500 0.500

Total energy ... -19.750 eV for the cell shown